[1]
DFT (PBE) results for a relaxed structure of YZrP2O.

**Calculated density**: 4.10 g cm⁻³
**E_form (uncorrected)**: -6.08 eV per formula unit
**Density of states at the Fermi level**: 4.44 states/eV per cell

Geometry as CIF:
```
data_YZrP2O
_chemical_formula_sum 'Y1 Zr1 P2 O1'
_space_group_name_H-M_alt 'P 4/m m m'
_space_group_IT_number 123
_space_group_name_Hall '-P 4 2'
_cell_length_a 5.0939
_cell_length_b 5.0939
_cell_length_c 4.0295
_cell_angle_alpha 90.00
_cell_angle_beta 90.00
_cell_angle_gamma 90.00
loop_
_atom_site_label
_atom_site_type_symbol
_atom_site_fract_x
_atom_site_fract_y
_atom_site_fract_z
Y1 Y 0.0000 0.0000 0.0000
Zr1 Zr 0.5000 0.5000 0.5000
P1 P 0.0000 0.5000 0.5000
O1 O 0.5000 0.5000 0.0000
```


[2]
DFT (PBE) results for a relaxed structure of CeErCo2.

**E_form**: -0.028 eV per atom
**Calculated density**: 8.99 g cm⁻³
**Density of states at the Fermi level**: 10.49 states/eV per cell

Geometry as CIF:
```
data_CeErCo2
_chemical_formula_sum 'Ce3 Er3 Co6'
_space_group_name_H-M_alt 'R -3 m'
_space_group_IT_number 166
_space_group_name_Hall '-R 3 2"'
_cell_length_a 3.7061
_cell_length_b 3.7061
_cell_length_c 19.8109
_cell_angle_alpha 90.00
_cell_angle_beta 90.00
_cell_angle_gamma 120.00
loop_
_atom_site_label
_atom_site_type_symbol
_atom_site_fract_x
_atom_site_fract_y
_atom_site_fract_z
Ce1 Ce 0.0000 0.0000 0.0000
Er1 Er 0.0000 0.0000 0.5000
Co1 Co 0.0000 0.0000 0.2560
```


[3]
DFT (PBE) results for a relaxed structure of LiSm5Al4.

**E_form**: -0.295 eV per atom
**Calculated density**: 5.67 g cm⁻³
**Density of states at the Fermi level**: 3.40 states/eV per cell

Geometry as CIF:
```
data_LiSm5Al4
_chemical_formula_sum 'Li1 Sm5 Al4'
_space_group_name_H-M_alt 'P 4/m m m'
_space_group_IT_number 123
_space_group_name_Hall '-P 4 2'
_cell_length_a 3.6676
_cell_length_b 3.6676
_cell_length_c 18.8795
_cell_angle_alpha 90.00
_cell_angle_beta 90.00
_cell_angle_gamma 90.00
loop_
_atom_site_label
_atom_site_type_symbol
_atom_site_fract_x
_atom_site_fract_y
_atom_site_fract_z
Li1 Li 0.0000 0.0000 0.0000
Sm1 Sm 0.5000 0.5000 0.1103
Sm2 Sm 0.5000 0.5000 0.3047
Sm3 Sm 0.5000 0.5000 0.5000
Al1 Al 0.0000 0.0000 0.2035
Al2 Al 0.0000 0.0000 0.4021
```


[4]
DFT (PBE) results for a relaxed structure of PaVC.

**E_form**: 0.059 eV per atom
**Calculated density**: 11.98 g cm⁻³
**Density of states at the Fermi level**: 4.18 states/eV per cell

Geometry as CIF:
```
data_PaVC
_chemical_formula_sum 'Pa2 V2 C2'
_space_group_name_H-M_alt 'I 4 m m'
_space_group_IT_number 107
_space_group_name_Hall 'I 4 -2'
_cell_length_a 2.8938
_cell_length_b 2.8938
_cell_length_c 9.7350
_cell_angle_alpha 90.00
_cell_angle_beta 90.00
_cell_angle_gamma 90.00
loop_
_atom_site_label
_atom_site_type_symbol
_atom_site_fract_x
_atom_site_fract_y
_atom_site_fract_z
Pa1 Pa 0.0000 0.0000 0.0000
V1 V 0.0000 0.0000 0.7289
C1 C 0.0000 0.0000 0.2970
```


[5]
DFT (PBE) results for a relaxed structure of NdEr2Hf.

**E_form**: 0.156 eV per atom
**Calculated density**: 9.49 g cm⁻³
**Density of states at the Fermi level**: 5.54 states/eV per cell

Geometry as CIF:
```
data_NdEr2Hf
_chemical_formula_sum 'Nd1 Er2 Hf1'
_space_group_name_H-M_alt 'P 4/m m m'
_space_group_IT_number 123
_space_group_name_Hall '-P 4 2'
_cell_length_a 4.8492
_cell_length_b 4.8492
_cell_length_c 4.8886
_cell_angle_alpha 90.00
_cell_angle_beta 90.00
_cell_angle_gamma 90.00
loop_
_atom_site_label
_atom_site_type_symbol
_atom_site_fract_x
_atom_site_fract_y
_atom_site_fract_z
Nd1 Nd 0.0000 0.0000 0.0000
Er1 Er 0.0000 0.5000 0.5000
Hf1 Hf 0.5000 0.5000 0.0000
```


[6]
DFT (PBE) results for a relaxed structure of Pr2Cu2Ge3.

**E_form**: -0.619 eV per atom
**Calculated density**: 7.40 g cm⁻³
**Density of states at the Fermi level**: 4.50 states/eV per cell

Geometry as CIF:
```
data_Pr2Cu2Ge3
_chemical_formula_sum 'Pr8 Cu8 Ge12'
_space_group_name_H-M_alt 'C m c m'
_space_group_IT_number 63
_space_group_name_Hall '-C 2c 2'
_cell_length_a 4.4164
_cell_length_b 18.5425
_cell_length_c 6.8715
_cell_angle_alpha 90.00
_cell_angle_beta 90.00
_cell_angle_gamma 90.00
loop_
_atom_site_label
_atom_site_type_symbol
_atom_site_fract_x
_atom_site_fract_y
_atom_site_fract_z
Pr1 Pr 0.0000 0.0515 0.2500
Pr2 Pr 0.0000 0.1598 0.7500
Cu1 Cu 0.0000 0.3109 0.5653
Ge1 Ge 0.0000 0.2221 0.2500
Ge2 Ge 0.0000 0.4362 0.0643
```


[7]
DFT (PBE) results for a relaxed structure of Pm6CoBi2.

**E_form**: -0.451 eV per atom
**Calculated density**: 8.36 g cm⁻³
**Density of states at the Fermi level**: 11.99 states/eV per cell

Geometry as CIF:
```
data_Pm6CoBi2
_chemical_formula_sum 'Pm6 Co1 Bi2'
_space_group_name_H-M_alt 'P -6 2 m'
_space_group_IT_number 189
_space_group_name_Hall 'P -6 -2'
_cell_length_a 8.6582
_cell_length_b 8.6582
_cell_length_c 4.1209
_cell_angle_alpha 90.00
_cell_angle_beta 90.00
_cell_angle_gamma 120.00
loop_
_atom_site_label
_atom_site_type_symbol
_atom_site_fract_x
_atom_site_fract_y
_atom_site_fract_z
Pm1 Pm 0.0000 0.2327 0.0000
Pm2 Pm 0.0000 0.5966 0.5000
Co1 Co 0.0000 0.0000 0.5000
Bi1 Bi 0.3333 0.6667 0.0000
```


[8]
DFT (PBE) results for a relaxed structure of CaPr3Dy2Te6.

**Calculated density**: 6.83 g cm⁻³
**E_form (uncorrected)**: -17.01 eV per formula unit
**Density of states at the Fermi level**: 11.81 states/eV per cell

Geometry as CIF:
```
data_CaPr3Dy2Te6
_chemical_formula_sum 'Ca2 Pr6 Dy4 Te12'
_space_group_name_H-M_alt 'C 1 2/m 1'
_space_group_IT_number 12
_cell_length_a 19.5584
_cell_length_b 4.4195
_cell_length_c 9.0274
_cell_angle_alpha 90.00
_cell_angle_beta 104.58
_cell_angle_gamma 90.00
loop_
_space_group_symop_operation_xyz
'x,y,z'
'-x,-y,-z'
'-x,y,-z'
'x,-y,z'
'x+1/2,y+1/2,z'
'-x+1/2,-y+1/2,-z'
'-x+1/2,y+1/2,-z'
'x+1/2,-y+1/2,z'
loop_
_atom_site_label
_atom_site_type_symbol
_atom_site_fract_x
_atom_site_fract_y
_atom_site_fract_z
Ca1 Ca 0.0000 0.0000 0.0000
Pr1 Pr 0.0000 0.0000 0.5000
Pr2 Pr 0.1649 0.5000 0.8258
Dy1 Dy 0.1689 0.5000 0.3374
Te1 Te 0.0051 0.5000 0.2450
Te2 Te 0.1652 0.0000 0.0905
Te3 Te 0.1688 0.0000 0.5735
```


[9]
DFT (PBE) results for a relaxed structure of PrThIrAu.

**E_form**: -0.632 eV per atom
**Calculated density**: 13.02 g cm⁻³
**Density of states at the Fermi level**: 17.30 states/eV per cell

Geometry as CIF:
```
data_PrThIrAu
_chemical_formula_sum 'Pr4 Th4 Ir4 Au4'
_space_group_name_H-M_alt 'F -4 3 m'
_space_group_IT_number 216
_space_group_name_Hall 'F -4 2 3'
_cell_length_a 7.2985
_cell_length_b 7.2985
_cell_length_c 7.2985
_cell_angle_alpha 90.00
_cell_angle_beta 90.00
_cell_angle_gamma 90.00
loop_
_atom_site_label
_atom_site_type_symbol
_atom_site_fract_x
_atom_site_fract_y
_atom_site_fract_z
Pr1 Pr 0.0000 0.0000 0.0000
Th1 Th 0.0000 0.0000 0.5000
Ir1 Ir 0.2500 0.2500 0.7500
Au1 Au 0.2500 0.2500 0.2500
```


[10]
DFT (PBE) results for a relaxed structure of ZnBi3As.

**E_form**: 0.649 eV per atom
**Calculated density**: 7.26 g cm⁻³
**Density of states at the Fermi level**: 3.70 states/eV per cell

Geometry as CIF:
```
data_ZnBi3As
_chemical_formula_sum 'Zn1 Bi3 As1'
_space_group_name_H-M_alt 'P m -3 m'
_space_group_IT_number 221
_space_group_name_Hall '-P 4 2 3'
_cell_length_a 5.5989
_cell_length_b 5.5989
_cell_length_c 5.5989
_cell_angle_alpha 90.00
_cell_angle_beta 90.00
_cell_angle_gamma 90.00
loop_
_atom_site_label
_atom_site_type_symbol
_atom_site_fract_x
_atom_site_fract_y
_atom_site_fract_z
Zn1 Zn 0.0000 0.0000 0.0000
Bi1 Bi 0.0000 0.5000 0.5000
As1 As 0.5000 0.5000 0.5000
```


[11]
DFT (PBE) results for a relaxed structure of FeAgMo.

**E_form**: 0.497 eV per atom
**Calculated density**: 9.61 g cm⁻³
**Density of states at the Fermi level**: 5.70 states/eV per cell

Geometry as CIF:
```
data_FeAgMo
_chemical_formula_sum 'Fe2 Ag2 Mo2'
_space_group_name_H-M_alt 'I m m 2'
_space_group_IT_number 44
_cell_length_a 2.6404
_cell_length_b 4.0783
_cell_length_c 8.3307
_cell_angle_alpha 90.00
_cell_angle_beta 90.00
_cell_angle_gamma 90.00
loop_
_space_group_symop_operation_xyz
'x,y,z'
'-x,-y,z'
'-x,y,z'
'x,-y,z'
'x+1/2,y+1/2,z+1/2'
'-x+1/2,-y+1/2,z+1/2'
'-x+1/2,y+1/2,z+1/2'
'x+1/2,-y+1/2,z+1/2'
loop_
_atom_site_label
_atom_site_type_symbol
_atom_site_fract_x
_atom_site_fract_y
_atom_site_fract_z
Fe1 Fe 0.0000 0.0000 0.0000
Ag1 Ag 0.0000 0.0000 0.3308
Mo1 Mo 0.0000 0.0000 0.6568
```


[12]
DFT (PBE) results for a relaxed structure of Hg2Se.

**Calculated density**: 8.85 g cm⁻³
**E_form (uncorrected)**: -0.21 eV per formula unit
**Density of states at the Fermi level**: 0.51 states/eV per cell

Geometry as CIF:
```
data_Hg2Se
_chemical_formula_sum 'Hg4 Se2'
_space_group_name_H-M_alt 'P 63/m m c'
_space_group_IT_number 194
_space_group_name_Hall '-P 6c 2c'
_cell_length_a 4.2076
_cell_length_b 4.2076
_cell_length_c 11.7499
_cell_angle_alpha 90.00
_cell_angle_beta 90.00
_cell_angle_gamma 120.00
loop_
_atom_site_label
_atom_site_type_symbol
_atom_site_fract_x
_atom_site_fract_y
_atom_site_fract_z
Hg1 Hg 0.3333 0.6667 0.1341
Se1 Se 0.0000 0.0000 0.0000
```


Number 1: spin magnetization 0.0 μB/cell, final energy -7.37 eV/atom. Number 2: spin magnetization 0.0 μB/cell, final energy -6.20 eV/atom. Number 3: spin magnetization 0.0 μB/cell, final energy -4.34 eV/atom. Number 4: spin magnetization 0.0 μB/cell, final energy -9.22 eV/atom. Number 5: spin magnetization 0.0 μB/cell, final energy -5.81 eV/atom. Number 6: spin magnetization 0.0 μB/cell, final energy -5.13 eV/atom. Number 7: spin magnetization 0.0 μB/cell, final energy -5.27 eV/atom. Number 8: spin magnetization 0.0 μB/cell, final energy -5.12 eV/atom. Number 9: spin magnetization 0.0 μB/cell, final energy -6.72 eV/atom. Number 10: spin magnetization 0.0 μB/cell, final energy -2.86 eV/atom. Number 11: spin magnetization 3.1 μB/cell, final energy -6.88 eV/atom. Number 12: spin magnetization 0.0 μB/cell, final energy -1.43 eV/atom.